No. 1
First-principles (PBE) data for a relaxed Tb2PrY crystal, as listed in Alexandria via LeMat-Bulk.

Calculated values
volume: 33.19 Å³ per atom
offset from the most stable computed form: 0 meV per atom
formation energy: 0.01 eV/atom
Fermi-level density of states: 19.40 states/eV/cell
VASP energy: -5.119 eV/atom

Cell: 3.6293 3.6293 34.9147 Å, 90.00 90.00 120.00°
Space group R3m (No. 160, hexagonal axes)
Inequivalent atoms, fractional coordinates:
Tb 0.0000 0.0000 0.0000
Tb 0.0000 0.0000 0.1638
Pr 0.0000 0.0000 0.5818
Y 0.0000 0.0000 0.4157



No. 2
First-principles (PBE) data for a relaxed LaScBi2 crystal, as listed in Alexandria via LeMat-Bulk.

Calculated values
volume: 32.91 Å³ per atom
offset from the most stable computed form: 116 meV per atom
formation energy: -0.73 eV/atom
Fermi-level density of states: 1.41 states/eV/cell
VASP energy: -5.481 eV/atom

Cell: 4.4619 4.4619 22.9050 Å, 90.00 90.00 120.00°
Space group R3m (No. 160, hexagonal axes)
Inequivalent atoms, fractional coordinates:
La 0.0000 0.0000 0.0000
Sc 0.0000 0.0000 0.1706
Bi 0.0000 0.0000 0.4251
Bi 0.0000 0.0000 0.5788



No. 3
First-principles (PBE) data for a relaxed K3In2Ga4 crystal, as listed in Alexandria via LeMat-Bulk.

Calculated values
volume: 31.46 Å³ per atom
formation energy: -0.06 eV/atom
Fermi-level density of states: 3.69 states/eV/cell
VASP energy: -2.383 eV/atom

Cell: 4.739 6.897 9.844 Å, 70.61 89.71 70.03°
Space group P-1 (No. 2)
Inequivalent atoms, fractional coordinates:
K 0.000 0.000 0.000
K 0.372 0.256 0.629
In 0.326 0.350 0.233
Ga 0.083 0.836 0.625
Ga 0.286 0.427 0.929



No. 4
First-principles (PBE) data for a relaxed Ac8Sn3Ru crystal, as listed in Alexandria via LeMat-Bulk.

Calculated values
volume: 39.94 Å³ per atom
formation energy: -0.29 eV/atom
Fermi-level density of states: 25.38 states/eV/cell
VASP energy: -4.803 eV/atom

Cell: 7.834 7.834 15.619 Å, 90.00 90.00 90.00°
Space group I4/mmm (No. 139)
Inequivalent atoms, fractional coordinates:
Ac 0.236 0.236 0.119
Sn 0.000 0.000 0.500
Sn 0.000 0.500 0.250
Ru 0.000 0.000 0.000



> The highest VASP energy belongs to which entry?

K3In2Ga4



> What is the formation energy in the second record?

-0.73 eV/atom



> Among the records above, which one has the lowest volume?

K3In2Ga4



> formation energy of number 3 (K3In2Ga4)?

-0.06 eV/atom